Entry 1:
GGA-PBE KBe2Ag, optimized geometry; DFT formation energy = 512.8 meV/atom; DOS(E_F) = 0.282 states/eV/atom; DFT total energy = -9.3 eV/cell
1.0
2.946 0.000 0.000
0.000 2.946 0.000
0.000 0.000 8.030
K Be Ag
1 2 1
Direct
0.000 0.000 0.000
0.000 0.000 0.565
0.500 0.500 0.671
0.500 0.500 0.364

---

Entry 2:
GGA-PBE SrLiMgCu, optimized geometry; DFT formation energy = 40.7 meV/atom; DOS(E_F) = 0.623 states/eV/atom; DFT total energy = -9.1 eV/cell
1.0
0.000 3.628 3.628
3.628 0.000 3.628
3.628 3.628 0.000
Sr Li Mg Cu
1 1 1 1
Direct
0.000 0.000 0.000
0.250 0.250 0.250
0.500 0.500 0.500
0.750 0.750 0.750

---

Entry 3:
GGA-PBE Co2MoRh, optimized geometry; DFT formation energy = -9.1 meV/atom; DOS(E_F) = 1.051 states/eV/atom; DFT total energy = -32.4 eV/cell
1.0
-1.867 1.867 3.641
1.867 -1.867 3.641
1.867 1.867 -3.641
Co Mo Rh
2 1 1
Direct
0.250 0.750 0.500
0.750 0.250 0.500
0.000 0.000 0.000
0.500 0.500 0.000

---

Entry 4:
GGA-PBE BaHg2Au2, optimized geometry; DFT formation energy = -232.8 meV/atom; DOS(E_F) = 0.272 states/eV/atom; DFT total energy = -20.5 eV/cell
1.0
8.409 0.000 0.000
0.000 8.409 0.000
0.000 0.000 3.823
Ba Hg Au
2 4 4
Direct
0.000 0.000 0.000
0.500 0.500 0.000
0.121 0.379 0.000
0.379 0.879 0.000
0.621 0.121 0.000
0.879 0.621 0.000
0.180 0.680 0.500
0.320 0.180 0.500
0.680 0.820 0.500
0.820 0.320 0.500

---

Entry 5:
GGA-PBE Ce2DyHoSe5, optimized geometry; E_form (uncorrected) = -1299.4 meV/atom; DOS(E_F) = 2.163 states/eV/atom; DFT total energy = -50.2 eV/cell
1.0
5.128 0.000 0.000
0.000 5.128 0.000
0.000 0.000 10.755
Ce Dy Ho Se
2 1 1 5
Direct
0.000 0.000 0.198
0.000 0.000 0.802
0.500 0.500 0.500
0.500 0.500 0.000
0.000 0.000 0.500
0.000 0.500 0.000
0.500 0.000 0.000
0.500 0.500 0.255
0.500 0.500 0.745

---

Entry 6:
GGA-PBE Pm3TlAg5, optimized geometry; DFT formation energy = -225.5 meV/atom; DOS(E_F) = 0.531 states/eV/atom; DFT total energy = -65.8 eV/cell
1.0
8.940 0.000 0.000
-4.470 7.742 0.000
0.000 0.000 6.324
Pm Tl Ag
6 2 10
Direct
0.000 0.339 0.250
0.000 0.661 0.750
0.339 0.000 0.250
0.339 0.339 0.750
0.661 0.000 0.750
0.661 0.661 0.250
0.000 0.000 0.000
0.000 0.000 0.500
0.000 0.331 0.750
0.000 0.669 0.250
0.331 0.000 0.750
0.331 0.331 0.250
0.333 0.667 0.000
0.333 0.667 0.500
0.667 0.333 0.000
0.667 0.333 0.500
0.669 0.000 0.250
0.669 0.669 0.750